[1]
Material: Cs2CeSnS4
Method: DFT, PBE
State: relaxed Values from VASP.

Summary:
Density (g/cm³): 4.34
Symmetry: P2/m (10)
ΔE_f (raw) (meV/atom): -1278

Cell and atoms, written as Quantum ESPRESSO input:
```
&SYSTEM
  ibrav = 0, nat = 8, ntyp = 4
/
ATOMIC_SPECIES
S 32.06 S.upf
Cs 132.91 Cs.upf
Ce 140.12 Ce.upf
Sn 118.71 Sn.upf
ATOMIC_POSITIONS crystal
S 0.0000 0.6823 0.7517
Cs 0.5000 0.0000 0.5000
Ce 0.0000 0.5000 0.5000
Sn 0.5000 0.5000 0.0000
S 0.0000 0.3177 0.2483
Cs 0.0000 0.0000 0.0000
S 0.5000 0.3190 0.7145
S 0.5000 0.6810 0.2855
CELL_PARAMETERS angstrom
-2.6897 0.2850 3.2747
6.1803 -1.7935 5.2323
3.0753 6.4491 1.9647
```


[2]
Material: Cs2SrCeS4
Method: DFT, PBE
State: relaxed Values from VASP.

Summary:
Density (g/cm³): 4.00
Symmetry: P2/m (10)
ΔE_f (raw) (meV/atom): -1699

Cell and atoms, written as Quantum ESPRESSO input:
```
&SYSTEM
  ibrav = 0, nat = 8, ntyp = 4
/
ATOMIC_SPECIES
Cs 132.91 Cs.upf
Sr 87.62 Sr.upf
S 32.06 S.upf
Ce 140.12 Ce.upf
ATOMIC_POSITIONS crystal
Cs 0.0000 0.5000 0.5000
Sr 0.5000 0.5000 0.0000
S 0.5000 0.7930 0.8172
Ce 0.0000 0.0000 0.0000
S 0.0000 0.7572 0.1856
S 0.5000 0.2070 0.1828
Cs 0.5000 0.0000 0.5000
S 0.0000 0.2428 0.8144
CELL_PARAMETERS angstrom
4.3154 0.0000 0.0000
0.0000 7.4565 0.1205
0.0000 -2.6233 7.9840
```


[3]
Material: Cs3SrCe2S6
Method: DFT, PBE
State: relaxed Values from VASP.

Summary:
Density (g/cm³): 4.13
Symmetry: C2/m (12)
ΔE_f (raw) (meV/atom): -1756

Cell and atoms, written as Quantum ESPRESSO input:
```
&SYSTEM
  ibrav = 0, nat = 12, ntyp = 4
/
ATOMIC_SPECIES
S 32.06 S.upf
Cs 132.91 Cs.upf
Sr 87.62 Sr.upf
Ce 140.12 Ce.upf
ATOMIC_POSITIONS crystal
S 0.2930 0.2930 0.8166
Cs 0.5000 0.5000 0.5000
S 0.4167 0.0620 0.1857
S 0.5833 0.9380 0.8143
S 0.7070 0.7070 0.1834
Cs 0.8384 0.1616 0.5000
Sr 0.0000 0.0000 0.0000
S 0.9380 0.5833 0.8143
Ce 0.6670 0.3330 0.0000
Ce 0.3330 0.6670 0.0000
S 0.0620 0.4167 0.1857
Cs 0.1616 0.8384 0.5000
CELL_PARAMETERS angstrom
7.4373 0.0002 0.0005
-3.7167 6.4420 0.0005
-1.2403 -2.1476 8.0413
```


[4]
Material: Cs2TbCeS4
Method: DFT, PBE
State: relaxed Values from VASP.

Summary:
Density (g/cm³): 4.67
Symmetry: P2/m (10)
ΔE_f (raw) (meV/atom): -1788

Cell and atoms, written as Quantum ESPRESSO input:
```
&SYSTEM
  ibrav = 0, nat = 8, ntyp = 4
/
ATOMIC_SPECIES
S 32.06 S.upf
Cs 132.91 Cs.upf
Ce 140.12 Ce.upf
Tb 158.93 Tb.upf
ATOMIC_POSITIONS crystal
S 0.0000 0.2654 0.8159
Cs 0.0000 0.5000 0.5000
Ce 0.5000 0.5000 0.0000
S 0.0000 0.7346 0.1841
Tb 0.0000 0.0000 0.0000
S 0.5000 0.2212 0.1825
Cs 0.5000 0.0000 0.5000
S 0.5000 0.7788 0.8175
CELL_PARAMETERS angstrom
-2.1296 -0.3688 3.6022
-6.0698 -1.4565 -3.7375
3.7656 -7.3843 1.4702
```